Entry from the Alexandria database: an optimized crystal structure of CaPrMgCd (PBE-GGA).

- raw total energy (eV/atom) = -2.56
- DFT formation energy (eV per atom) = -0.233

Cell: 7.779 7.779 7.779 Å, 90.00 90.00 90.00°
Space group F-43m (No. 216)
Symmetry-distinct sites (fractional):
Ca 0.000 0.000 0.000
Pr 0.000 0.000 0.500
Mg 0.250 0.250 0.750
Cd 0.250 0.250 0.250



Entry from the Alexandria database: an optimized crystal structure of CaMgCd2Pt (PBE-GGA).

- raw total energy (eV/atom) = -1.74
- DFT formation energy (eV per atom) = 0.556

Cell: 5.801 5.801 5.108 Å, 90.00 90.00 90.00°
Space group P4/mmm (No. 123)
Symmetry-distinct sites (fractional):
Ca 0.000 0.000 0.000
Mg 0.500 0.500 0.500
Cd 0.000 0.500 0.000
Pt 0.000 0.000 0.500



The highest raw total energy belongs to which entry? CaMgCd2Pt



Number 1 is which compound? CaPrMgCd



Which of these has the highest raw total energy? CaMgCd2Pt